Entry 1:
# Tb7Pr12Sm

A geometry-optimized Tb7Pr12Sm structure (PBE, Alexandria).

extended XYZ file:
```
20
Lattice="-3.002 -8.790 2.060 8.534 -0.731 -4.141 1.132 4.690 8.200" Properties=species:S:1:pos:R:3 pbc="T T T"
Pr -0.442 -2.232 3.042
Pr 2.822 1.234 2.223
Pr 4.017 -2.185 6.768
Pr 1.460 -5.144 1.638
Pr 1.519 -0.334 5.372
Tb 0.047 -8.065 0.583
Pr 1.166 -4.163 5.345
Sm 0.000 0.000 0.000
Pr 3.842 -6.065 3.896
Tb -1.313 -5.609 7.191
Pr 5.145 -4.498 0.748
Pr 5.204 0.313 4.481
Pr 7.106 -2.599 3.078
Tb 6.546 -6.216 -1.846
Tb 0.118 1.385 7.966
Tb 3.332 -2.416 3.060
Pr 5.498 -0.668 0.774
Pr 2.647 -2.647 -0.649
Tb 7.977 0.778 -1.072
Tb 6.617 3.234 5.537
```

Computed properties:
Polymorph energy (0 for the lowest one) (eV per atom): 0.000
Uncorrected energy (eV per atom): -4.582

***

Entry 2:
# ZrAlCu2

A geometry-optimized ZrAlCu2 structure (PBE, Alexandria).

extended XYZ file:
```
4
Lattice="2.762 0.000 0.000 0.000 5.272 -0.113 0.000 3.558 4.376" Properties=species:S:1:pos:R:3 pbc="T T T"
Cu 1.381 2.636 -0.057
Cu 0.000 0.000 0.000
Al 0.000 1.779 2.188
Zr 1.381 4.415 2.131
```

Computed properties:
Uncorrected energy (eV per atom): -5.103

***

Entry 3:
# RbCd3

A geometry-optimized RbCd3 structure (PBE, Alexandria).

extended XYZ file:
```
4
Lattice="3.722 0.000 0.000 0.000 4.749 0.000 0.000 0.000 7.757" Properties=species:S:1:pos:R:3 pbc="T T T"
Rb 0.000 2.375 2.360
Cd 1.861 0.000 4.629
Cd 1.861 2.375 6.563
Cd 0.000 0.000 7.135
```

Computed properties:
Uncorrected energy (eV per atom): -0.898

***

What are the total moment values for these records? In order: 0.00, 0.00, 0.00 Bohr magnetons per cell.
What are the formation enthalpy at 0 K values for these records? In order: 2.845, 0.072, 0.121 eV/f.u..